Record 1
# BTePdN2

BTePdN2 after structural relaxation (GGA-PBE, the Alexandria database).

a b c (Å): 3.446 3.446 7.499
angles (deg): 90.00 90.00 90.00
Site moments in Bohr magnetons follow the coordinates.
Sites, in units of the cell vectors:
Pd  0.500  0.500  0.500  0.02
N  0.500  0.000  0.000  0.24
N  0.000  0.500  0.000  0.24
B  0.000  0.000  0.000  -0.04
Te  0.000  0.000  0.500  0.05

Values from the calculation:
formation energy without anion corrections: 1.45 eV/atom
space group: P4/mmm
electronic total energy: -4.881 eV per atom
energy above the most stable polymorph in this dataset: 0.000 eV per atom


Record 2
# NaTbCrCl6

NaTbCrCl6 after structural relaxation (GGA-PBE, the Alexandria database).

a b c (Å): 6.640 6.640 12.660
angles (deg): 90.00 90.00 120.00
Site moments in Bohr magnetons follow the coordinates.
Sites, in units of the cell vectors:
Cr  0.667  0.333  0.250  3.60
Cr  0.333  0.667  0.750  3.60
Cl  0.364  0.347  0.365  0.00
Cl  0.636  0.983  0.865  0.00
Cl  0.636  0.653  0.635  0.00
Cl  0.653  0.017  0.365  0.00
Cl  0.017  0.653  0.865  0.00
Cl  0.653  0.636  0.135  0.00
Cl  0.983  0.636  0.365  0.00
Cl  0.347  0.983  0.635  0.00
Cl  0.364  0.017  0.135  0.00
Cl  0.017  0.364  0.635  0.00
Cl  0.347  0.364  0.865  0.00
Cl  0.983  0.347  0.135  0.00
Na  0.000  0.000  0.500  0.00
Na  0.000  0.000  0.000  0.00
Tb  0.333  0.667  0.250  0.01
Tb  0.667  0.333  0.750  0.01

Values from the calculation:
formation energy without anion corrections: -1.71 eV/atom
space group: P-31c
electronic total energy: -4.668 eV per atom